Entry from the Alexandria database: ZnCrO4 at its PBEsol-relaxed geometry (meta-GGA SCAN).

Unit cell a=4.9724 b=4.9724 c=6.2787 alpha=90.00 beta=90.00 gamma=112.90
With the nearest neighbours (Å) after each atom.
Fractional coordinates of all 12 atoms:
Zn1 0.0000 0.0000 0.0000  6 O 2.05-2.09
Zn2 0.0000 0.0000 0.5000  6 O 2.05-2.09
Cr1 0.3589 0.6411 0.7500  4 O 1.62-1.69
Cr2 0.6411 0.3589 0.2500  4 O 1.62-1.69
O1 0.2211 0.2725 0.7500  1 Cr 1.69
O2 0.2457 0.7543 0.5402  1 Cr 1.62
O3 0.2457 0.7543 0.9598  1 Cr 1.62
O4 0.2725 0.2211 0.2500  1 Cr 1.69
O5 0.7275 0.7789 0.7500  1 Cr 1.69
O6 0.7543 0.2457 0.0402  1 Cr 1.62
O7 0.7543 0.2457 0.4598  1 Cr 1.62
O8 0.7789 0.7275 0.2500  1 Cr 1.69

Properties
DOS(E_F) in states/eV/f.u.: 0.0
Crystal system: orthorhombic
Total DFT energy (no corrections) in eV per cell: -135.2
Mass density in g/cm3: 4.21
Offset from the most stable computed form in meV/atom: 0

***

Entry from the Alexandria database: TcW3Br at its PBEsol-relaxed geometry (meta-GGA SCAN).

Unit cell a=4.4877 b=4.4877 c=4.4877 alpha=90.00 beta=90.00 gamma=90.00
With the nearest neighbours (Å) after each atom.
Fractional coordinates of all 5 atoms:
Tc1 0.0000 0.0000 0.0000  12 W 3.17
W1 0.0000 0.5000 0.5000  2 Br 2.24
W2 0.5000 0.0000 0.5000  2 Br 2.24
W3 0.5000 0.5000 0.0000  2 Br 2.24
Br1 0.5000 0.5000 0.5000  6 W 2.24

Properties
DOS(E_F) in states/eV/f.u.: 4.1
Crystal system: cubic
Total DFT energy (no corrections) in eV per cell: -250.6
Mass density in g/cm3: 13.40

***

Entry from the Alexandria database: Sc2TaAs at its PBEsol-relaxed geometry (meta-GGA SCAN).

Unit cell a=5.3266 b=5.3266 c=4.8790 alpha=106.62 beta=106.62 gamma=35.42
With the nearest neighbours (Å) after each atom.
Fractional coordinates of all 4 atoms:
Sc1 0.0000 0.0000 0.0000  3 As 2.87-2.98, 4 Ta 2.93-3.03, 1 Sc 3.06
Sc2 0.2101 0.2101 0.6620  3 Ta 2.85-3.05, 4 As 2.92-2.97, 1 Sc 3.06
Ta1 0.4441 0.4441 0.4524  2 As 2.63, 3 Sc 2.85-2.93
As1 0.7439 0.7439 0.1777  2 Ta 2.63, 4 Sc 2.87-2.92

Properties
DOS(E_F) in states/eV/f.u.: 2.6
Crystal system: monoclinic
Total DFT energy (no corrections) in eV per cell: -116.4
DFT formation energy in meV/atom: -298
Mass density in g/cm3: 7.50

***

Entry from the Alexandria database: Ba5Cl at its PBEsol-relaxed geometry (meta-GGA SCAN).

Unit cell a=7.7484 b=7.7484 c=7.4977 alpha=90.00 beta=90.00 gamma=120.00
With the nearest neighbours (Å) after each atom.
Fractional coordinates of all 6 atoms:
Ba1 0.0000 0.5000 0.0000  4 Ba 3.87
Ba2 0.3333 0.6667 0.5000  9 Ba 4.37-4.47, 3 Cl 4.47
Ba3 0.5000 0.0000 0.0000  4 Ba 3.87
Ba4 0.5000 0.5000 0.0000  4 Ba 3.87
Ba5 0.6667 0.3333 0.5000  9 Ba 4.37-4.47, 3 Cl 4.47
Cl1 0.0000 0.0000 0.5000  6 Ba 4.47

Properties
DOS(E_F) in states/eV/f.u.: 8.3
Crystal system: hexagonal
Total DFT energy (no corrections) in eV per cell: -205.1
Mass density in g/cm3: 3.08
Offset from the most stable computed form in meV/atom: 99

***

Entry from the Alexandria database: KMgZr2Ni at its PBEsol-relaxed geometry (meta-GGA SCAN).

Unit cell a=4.8380 b=4.8380 c=4.4609 alpha=90.00 beta=90.00 gamma=90.00
With the nearest neighbours (Å) after each atom.
Fractional coordinates of all 5 atoms:
K1 0.0000 0.0000 0.0000  2 Ni 2.23, 4 Zr 2.42
Mg1 0.5000 0.5000 0.5000  8 Zr 3.29, 4 Ni 3.42
Zr1 0.0000 0.5000 0.0000  2 K 2.42
Zr2 0.5000 0.0000 0.0000  2 K 2.42
Ni1 0.0000 0.0000 0.5000  2 K 2.23

Properties
DOS(E_F) in states/eV/f.u.: 3.7
Crystal system: tetragonal
Total DFT energy (no corrections) in eV per cell: -82.1
DFT formation energy in meV/atom: 1747
Mass density in g/cm3: 4.84

***

Entry from the Alexandria database: InTcAs3 at its PBEsol-relaxed geometry (meta-GGA SCAN).

Unit cell a=4.8013 b=4.8013 c=4.8013 alpha=90.00 beta=90.00 gamma=90.00
With the nearest neighbours (Å) after each atom.
Fractional coordinates of all 5 atoms:
In1 0.0000 0.0000 0.0000  12 As 3.40
Tc1 0.5000 0.5000 0.5000  6 As 2.40
As1 0.0000 0.5000 0.5000  2 Tc 2.40
As2 0.5000 0.0000 0.5000  2 Tc 2.40
As3 0.5000 0.5000 0.0000  2 Tc 2.40

Properties
DOS(E_F) in states/eV/f.u.: 4.4
Crystal system: cubic
Total DFT energy (no corrections) in eV per cell: -126.9
DFT formation energy in meV/atom: 420
Mass density in g/cm3: 6.56

***

Entry from the Alexandria database: LiSc2Pt at its PBEsol-relaxed geometry (meta-GGA SCAN).

Unit cell a=4.6180 b=4.6180 c=4.6180 alpha=60.00 beta=60.00 gamma=60.00
With the nearest neighbours (Å) after each atom.
Fractional coordinates of all 4 atoms:
Li1 0.0000 0.0000 0.0000  8 Sc 2.83
Sc1 0.2500 0.2500 0.2500  4 Li 2.83, 4 Pt 2.83
Sc2 0.7500 0.7500 0.7500  4 Li 2.83, 4 Pt 2.83
Pt1 0.5000 0.5000 0.5000  8 Sc 2.83

Properties
DOS(E_F) in states/eV/f.u.: 2.7
Crystal system: cubic
Total DFT energy (no corrections) in eV per cell: -104.7
DFT formation energy in meV/atom: -903
Mass density in g/cm3: 6.96
Offset from the most stable computed form in meV/atom: 0

***

Entry from the Alexandria database: KTl2Au at its PBEsol-relaxed geometry (meta-GGA SCAN).

Unit cell a=7.9713 b=7.9713 c=7.9713 alpha=31.81 beta=31.81 gamma=31.81
With the nearest neighbours (Å) after each atom.
Fractional coordinates of all 4 atoms:
K1 0.0000 0.0000 0.0000  6 Tl 3.51
Tl1 0.2257 0.2257 0.2257  3 Au 2.86
Tl2 0.7743 0.7743 0.7743  3 Au 2.86
Au1 0.5000 0.5000 0.5000  6 Tl 2.86

Properties
DOS(E_F) in states/eV/f.u.: 1.9
Crystal system: trigonal
Total DFT energy (no corrections) in eV per cell: -223.0
DFT formation energy in meV/atom: -205
Mass density in g/cm3: 8.57

***

Entry from the Alexandria database: SmRe4Si2 at its PBEsol-relaxed geometry (meta-GGA SCAN).

Unit cell a=7.3865 b=7.3865 c=4.0951 alpha=90.00 beta=90.00 gamma=90.00
With the nearest neighbours (Å) after each atom.
Fractional coordinates of all 14 atoms:
Sm1 0.0000 0.0000 0.0000  6 Si 3.00-3.04, 12 Re 3.22-3.33
Sm2 0.5000 0.5000 0.5000  6 Si 3.00-3.04, 12 Re 3.22-3.33
Re1 0.0926 0.3431 0.5000  3 Si 2.44-2.55, 2 Re 2.62-2.69
Re2 0.1569 0.5926 0.0000  3 Si 2.44-2.55, 2 Re 2.62-2.69
Re3 0.3431 0.0926 0.5000  3 Si 2.44-2.55, 2 Re 2.62-2.69
Re4 0.4074 0.8431 0.0000  3 Si 2.44-2.55, 2 Re 2.62-2.69
Re5 0.5926 0.1569 0.0000  3 Si 2.44-2.55, 2 Re 2.62-2.69
Re6 0.6569 0.9074 0.5000  3 Si 2.44-2.55, 2 Re 2.62-2.69
Re7 0.8431 0.4074 0.0000  3 Si 2.44-2.55, 2 Re 2.62-2.69
Re8 0.9074 0.6569 0.5000  3 Si 2.44-2.55, 2 Re 2.62-2.69
Si1 0.2094 0.7906 0.5000  6 Re 2.44-2.55
Si2 0.2906 0.2906 0.0000  6 Re 2.44-2.55
Si3 0.7094 0.7094 0.0000  6 Re 2.44-2.55
Si4 0.7906 0.2094 0.5000  6 Re 2.44-2.55

Properties
DOS(E_F) in states/eV/f.u.: 3.8
Crystal system: tetragonal
Total DFT energy (no corrections) in eV per cell: -704.5
Mass density in g/cm3: 14.14

***

Entry from the Alexandria database: Ca3TlAs at its PBEsol-relaxed geometry (meta-GGA SCAN).

Unit cell a=5.5218 b=5.5218 c=5.5218 alpha=90.00 beta=90.00 gamma=90.00
With the nearest neighbours (Å) after each atom.
Fractional coordinates of all 5 atoms:
Ca1 0.0000 0.0000 0.5000  2 As 2.76
Ca2 0.0000 0.5000 0.0000  2 As 2.76
Ca3 0.5000 0.0000 0.0000  2 As 2.76
Tl1 0.5000 0.5000 0.5000  12 Ca 3.90
As1 0.0000 0.0000 0.0000  6 Ca 2.76

Properties
DOS(E_F) in states/eV/f.u.: 3.4
Crystal system: cubic
Total DFT energy (no corrections) in eV per cell: -125.1
DFT formation energy in meV/atom: -704
Mass density in g/cm3: 3.94
Offset from the most stable computed form in meV/atom: 0

***

Entry from the Alexandria database: NdHo3 at its PBEsol-relaxed geometry (meta-GGA SCAN).

Unit cell a=4.9331 b=4.9331 c=4.9331 alpha=90.00 beta=90.00 gamma=90.00
With the nearest neighbours (Å) after each atom.
Fractional coordinates of all 4 atoms:
Nd1 0.0000 0.0000 0.0000  12 Ho 3.49
Ho1 0.0000 0.5000 0.5000  8 Ho 3.49, 4 Nd 3.49
Ho2 0.5000 0.0000 0.5000  8 Ho 3.49, 4 Nd 3.49
Ho3 0.5000 0.5000 0.0000  8 Ho 3.49, 4 Nd 3.49

Properties
DOS(E_F) in states/eV/f.u.: 4.8
Crystal system: cubic
Total DFT energy (no corrections) in eV per cell: -190.5
DFT formation energy in meV/atom: 22
Mass density in g/cm3: 8.84
Offset from the most stable computed form in meV/atom: 6

***

Entry from the Alexandria database: TlCuSe2 at its PBEsol-relaxed geometry (meta-GGA SCAN).

Unit cell a=5.4134 b=5.4134 c=5.4134 alpha=140.39 beta=110.01 gamma=83.53
With the nearest neighbours (Å) after each atom.
Fractional coordinates of all 4 atoms:
Tl1 0.0000 0.0000 0.0000  8 Se 3.17-3.43
Cu1 0.5000 0.5000 0.0000  4 Se 2.34
Se1 0.3195 0.8195 0.5000  2 Cu 2.34
Se2 0.6805 0.1805 0.5000  2 Cu 2.34

Properties
DOS(E_F) in states/eV/f.u.: 1.3
Crystal system: orthorhombic
Total DFT energy (no corrections) in eV per cell: -128.3
Mass density in g/cm3: 7.69